Below is crystalline HfZrI3 at its relaxed geometry, with properties calculated at the PBE level.

Lattice parameters (Å, degrees): 5.622 5.622 5.622 90.00 90.00 90.00
Atoms (fractional coordinates):
Hf1 0.000 0.000 0.000
Zr1 0.500 0.500 0.500
I1 0.000 0.000 0.500
I2 0.000 0.500 0.000
I3 0.500 0.000 0.000

## Properties
E above lowest polymorph = 0.000 eV per atom
Total magnetization = 0.709 μB/atom
Formation energy (no corrections) = 50.2 kJ per mole of atoms

***

Below is crystalline SmTmCdCo at its relaxed geometry, with properties calculated at the PBE level.

Lattice parameters (Å, degrees): 3.430 3.430 7.710 90.00 90.00 90.00
Atoms (fractional coordinates):
Sm1 0.000 0.000 0.000
Tm1 0.000 0.000 0.576
Cd1 0.500 0.500 0.301
Co1 0.500 0.500 0.775

## Properties
DFT formation energy = -0.23 eV per atom
E above lowest polymorph = 0.000 eV per atom
Total magnetization = 0.135 μB/atom

***

Below is crystalline Sm2Sc6Cd at its relaxed geometry, with properties calculated at the PBE level.

Lattice parameters (Å, degrees): 8.953 8.953 8.953 158.40 114.78 69.58
Atoms (fractional coordinates):
Sm1 0.140 0.140 0.000
Sm2 0.860 0.860 0.000
Sc1 0.158 0.819 0.339
Sc2 0.230 0.500 0.730
Sc3 0.480 0.819 0.661
Sc4 0.520 0.181 0.339
Sc5 0.770 0.500 0.270
Sc6 0.842 0.181 0.661
Cd1 0.500 0.000 0.500

## Properties
DFT formation energy = 0.05 eV per atom
Total magnetization = 0.000 μB/atom

***

Below is crystalline Rh2PbW at its relaxed geometry, with properties calculated at the PBE level.

Lattice parameters (Å, degrees): 3.027 3.027 7.509 90.00 90.00 90.00
Atoms (fractional coordinates):
Rh1 0.000 0.000 0.000
Rh2 0.500 0.500 0.253
Pb1 0.500 0.500 0.755
W1 0.000 0.000 0.457

## Properties
DFT formation energy = 0.38 eV per atom
Total magnetization = 0.000 μB/atom

***

Below is crystalline Rb2HgPbO at its relaxed geometry, with properties calculated at the PBE level.

Lattice parameters (Å, degrees): 5.725 5.725 4.967 90.00 90.00 90.00
Atoms (fractional coordinates):
Rb1 0.000 0.500 0.000
Rb2 0.500 0.000 0.000
Hg1 0.000 0.000 0.500
Pb1 0.500 0.500 0.500
O1 0.500 0.500 0.000

## Properties
Total magnetization = 0.000 μB/atom
Formation energy (no corrections) = -48.0 kJ per mole of atoms

***

Below is crystalline CePrSiPd at its relaxed geometry, with properties calculated at the PBE level.

Lattice parameters (Å, degrees): 5.148 5.148 5.148 60.00 60.00 60.00
Atoms (fractional coordinates):
Ce1 0.000 0.000 0.000
Pr1 0.500 0.500 0.500
Si1 0.750 0.750 0.750
Pd1 0.250 0.250 0.250

## Properties
Total magnetization = 0.298 μB/atom
Formation energy (no corrections) = -51.3 kJ per mole of atoms

***

Below is crystalline Na6Hg2H at its relaxed geometry, with properties calculated at the PBE level.

Lattice parameters (Å, degrees): 6.800 6.801 11.854 90.00 124.94 90.00
Atoms (fractional coordinates):
Na1 0.243 0.248 0.000
Na2 0.243 0.252 0.500
Na3 0.244 0.000 0.244
Na4 0.244 0.500 0.744
Na5 0.248 0.744 0.500
Na6 0.248 0.756 0.000
Na7 0.752 0.244 0.000
Na8 0.752 0.256 0.500
Na9 0.756 0.000 0.756
Na10 0.756 0.500 0.256
Na11 0.757 0.748 0.500
Na12 0.757 0.752 0.000
Hg1 0.251 0.000 0.750
Hg2 0.251 0.500 0.250
Hg3 0.749 0.000 0.250
Hg4 0.749 0.500 0.750
H1 0.000 0.000 0.000
H2 0.000 0.500 0.500

## Properties
Total magnetization = 0.000 μB/atom
Total DFT energy (no corrections) = -26.00 eV/cell

***

Below is crystalline Pm5Nd6Ho2 at its relaxed geometry, with properties calculated at the PBE level.

Lattice parameters (Å, degrees): 11.820 20.929 3.651 90.00 90.00 90.00
Atoms (fractional coordinates):
Pm1 0.000 0.000 0.000
Pm2 0.088 0.273 0.000
Pm3 0.197 0.555 0.000
Pm4 0.303 0.055 0.000
Pm5 0.412 0.773 0.000
Pm6 0.500 0.500 0.000
Pm7 0.588 0.227 0.000
Pm8 0.697 0.945 0.000
Pm9 0.803 0.445 0.000
Pm10 0.912 0.727 0.000
Nd1 0.062 0.420 0.500
Nd2 0.082 0.132 0.500
Nd3 0.174 0.862 0.000
Nd4 0.326 0.362 0.000
Nd5 0.418 0.632 0.500
Nd6 0.438 0.920 0.500
Nd7 0.562 0.080 0.500
Nd8 0.582 0.368 0.500
Nd9 0.674 0.638 0.000
Nd10 0.826 0.138 0.000
Nd11 0.918 0.868 0.500
Nd12 0.938 0.580 0.500
Ho1 0.169 0.711 0.500
Ho2 0.331 0.211 0.500
Ho3 0.669 0.789 0.500
Ho4 0.831 0.289 0.500

## Properties
DFT formation energy = 0.09 eV per atom
Total magnetization = 0.000 μB/atom

***

Below is crystalline Cd2Sn3Hg4 at its relaxed geometry, with properties calculated at the PBE level.

Lattice parameters (Å, degrees): 3.176 8.056 9.279 91.00 91.53 96.24
Atoms (fractional coordinates):
Cd1 0.214 0.343 0.036
Cd2 0.786 0.657 0.964
Sn1 0.343 0.696 0.267
Sn2 0.500 0.000 0.500
Sn3 0.657 0.304 0.733
Hg1 0.305 0.954 0.841
Hg2 0.406 0.349 0.378
Hg3 0.594 0.651 0.622
Hg4 0.695 0.046 0.159

## Properties
DFT formation energy = 0.04 eV per atom
Total magnetization = 0.000 μB/atom

***

Below is crystalline VSb at its relaxed geometry, with properties calculated at the PBE level.

Lattice parameters (Å, degrees): 3.232 11.924 6.348 90.00 90.00 90.00
Atoms (fractional coordinates):
V1 0.250 0.140 0.016
V2 0.250 0.360 0.016
V3 0.250 0.750 0.743
V4 0.750 0.250 0.257
V5 0.750 0.640 0.984
V6 0.750 0.860 0.984
Sb1 0.250 0.250 0.627
Sb2 0.250 0.524 0.710
Sb3 0.250 0.976 0.710
Sb4 0.750 0.024 0.290
Sb5 0.750 0.476 0.290
Sb6 0.750 0.750 0.373

## Properties
Total magnetization = 0.147 μB/atom
Formation energy (no corrections) = 16.0 kJ per mole of atoms

***

Below is crystalline LaNd12In3 at its relaxed geometry, with properties calculated at the PBE level.

Lattice parameters (Å, degrees): 5.005 5.005 20.550 90.00 90.00 90.00
Atoms (fractional coordinates):
La1 0.000 0.000 0.000
Nd1 0.000 0.500 0.134
Nd2 0.000 0.500 0.378
Nd3 0.000 0.500 0.622
Nd4 0.000 0.500 0.866
Nd5 0.500 0.000 0.134
Nd6 0.500 0.000 0.378
Nd7 0.500 0.000 0.622
Nd8 0.500 0.000 0.866
Nd9 0.500 0.500 0.000
Nd10 0.500 0.500 0.258
Nd11 0.500 0.500 0.500
Nd12 0.500 0.500 0.742
In1 0.000 0.000 0.257
In2 0.000 0.000 0.500
In3 0.000 0.000 0.743

## Properties
DFT formation energy = -0.19 eV per atom
Total magnetization = 0.000 μB/atom